[1]
Here is a geometry-optimized ErMgPd structure from the Alexandria database. Energies are from PBE.

Structure (POSCAR):
```
ErMgPd
1.0
-4.493 -1.174 -0.560
-2.442 -1.695 3.611
-3.358 2.590 1.974
Er Pd Mg
1 1 1
direct
0.000 0.000 0.000
0.250 0.250 0.250
0.500 0.500 0.500
```

Properties
**Total magnetic moment**: 0.000 μB per atom

=====

[2]
Here is a geometry-optimized Zn2Cu2W structure from the Alexandria database. Energies are from PBE.

Structure (POSCAR):
```
Zn2Cu2W
1.0
-1.942 -6.968 0.263
4.337 -1.420 -5.619
1.954 -0.483 1.630
W Zn Cu
2 4 4
direct
0.000 0.000 0.000
0.500 0.500 0.000
0.825 0.325 0.500
0.175 0.675 0.500
0.325 0.175 0.500
0.675 0.825 0.500
0.377 0.877 0.000
0.123 0.377 0.000
0.623 0.123 0.000
0.877 0.623 0.000
```

Properties
**Total magnetic moment**: 0.000 μB per atom

=====

DFT formation energy
In order: -1.63; 1.13
Unit: eV per formula unit
N(E_F)
In order: 1.9; 2.3
Unit: states/eV/f.u.